1.
The following is a DFT calculation (GGA-PBEsol) of BaCo3Se after structural relaxation.

Values from the calculation:
Symmetry ... Pm-3m, No. 221
Magnetic moment ... 3.600 μB/cell
E_form (uncorrected) ... 2206 meV per atom

```
BaCo3Se
1.0
4.762 0.000 0.000
0.000 4.762 0.000
0.000 0.000 4.762
Ba Co Se
1 3 1
direct
0.000 0.000 0.000 Ba
0.000 0.000 0.500 Co
0.000 0.500 0.000 Co
0.500 0.000 0.000 Co
0.500 0.500 0.500 Se
```

2.
The following is a DFT calculation (GGA-PBEsol) of Ba2CoSe after structural relaxation.

Values from the calculation:
Symmetry ... F-43m, No. 216
Magnetic moment ... 1.041 μB/cell
E_form (uncorrected) ... 83 meV per atom

```
Ba2CoSe
1.0
0.000 3.766 3.766
3.766 0.000 3.766
3.766 3.766 0.000
Ba Co Se
2 1 1
direct
0.000 0.000 0.000 Ba
0.250 0.250 0.250 Ba
0.750 0.750 0.750 Co
0.500 0.500 0.500 Se
```